{"formula": "P3PbC", "functional": "PBE-GGA", "state": "optimized geometry", "magmom_total_mub_per_fu": 1.37, "energy_ev_per_fu": -15.2, "formation_energy_mev_per_atom": 2786, "polymorph_energy_ev_per_atom": 1.658, "cell": [[-2.551, 3.281, 3.288], [-0.934, -4.037, 3.304], [4.551, 1.011, 2.521]], "species": ["Pb", "P", "P", "P", "C"], "frac_coords": [[0.000, 0.000, 0.000], [0.000, 0.500, 0.000], [0.000, 0.000, 0.500], [0.500, 0.000, 0.000], [0.500, 0.500, 0.500]]}

{"formula": "P3PbC", "functional": "PBE-GGA", "state": "optimized geometry", "magmom_total_mub_per_fu": 0.00, "energy_ev_per_fu": -23.5, "formation_energy_mev_per_atom": 1128, "polymorph_energy_ev_per_atom": 0.000, "cell": [[4.311, 0.000, 0.000], [0.000, 4.311, 0.000], [0.000, 0.000, 4.311]], "species": ["Pb", "P", "P", "P", "C"], "frac_coords": [[0.500, 0.500, 0.500], [0.000, 0.500, 0.000], [0.000, 0.000, 0.500], [0.500, 0.000, 0.000], [0.000, 0.000, 0.000]]}

{"formula": "P2RhPbC", "functional": "PBE-GGA", "state": "optimized geometry", "magmom_total_mub_per_fu": 1.35, "energy_ev_per_fu": -23.7, "formation_energy_mev_per_atom": 1472, "cell": [[-1.218, 3.112, 2.864], [0.415, -3.941, 4.458], [4.219, 1.109, 0.588]], "species": ["Pb", "P", "P", "C", "Rh"], "frac_coords": [[0.000, 0.500, 0.000], [0.000, 0.000, 0.500], [0.500, 0.000, 0.000], [0.500, 0.500, 0.500], [0.000, 0.000, 0.000]]}

{"formula": "ScPPbC2", "functional": "PBE-GGA", "state": "optimized geometry", "magmom_total_mub_per_fu": 0.30, "energy_ev_per_fu": -22.2, "formation_energy_mev_per_atom": 2330, "cell": [[-1.430, 3.934, -0.612], [-5.726, -1.825, 1.644], [0.859, 0.940, 4.034]], "species": ["Pb", "Sc", "C", "C", "P"], "frac_coords": [[0.000, 0.000, 0.000], [0.000, 0.500, 0.000], [0.000, 0.000, 0.500], [0.500, 0.000, 0.000], [0.500, 0.500, 0.500]]}

Looking at DOS(E_F) for the records above, in order, we have 3.382, 3.896, 3.763, 3.095 states/eV/f.u..